1.
BaSi2Hg: optimized geometry, PBE.

Computed properties:
Size of the total moment, μB per cell: 0.00
E_form (uncorrected), eV/f.u.: -0.14
D(E_F), states/eV/f.u.: 1.57

Unit cell a=10.0607 b=10.0607 c=10.0607 alpha=151.39 beta=151.39 gamma=40.91
Fractional positions:
Ba  0.3750  0.6250  0.7500
Ba  0.6250  0.3750  0.2500
Si  0.0000  0.0000  0.0000
Si  0.0000  0.0000  0.5000
Si  0.0000  0.5000  0.0000
Si  0.5000  0.0000  0.5000
Hg  0.1250  0.8750  0.2500
Hg  0.8750  0.1250  0.7500

---

2.
Co3TcS: optimized geometry, PBE.

Computed properties:
Size of the total moment, μB per cell: 3.06
E_form (uncorrected), eV/f.u.: 8.16
D(E_F), states/eV/f.u.: 7.55

Unit cell a=4.4436 b=4.4436 c=4.4436 alpha=90.00 beta=90.00 gamma=90.00
Fractional positions:
Co  0.0000  0.0000  0.5000
Co  0.0000  0.5000  0.0000
Co  0.5000  0.0000  0.0000
Tc  0.0000  0.0000  0.0000
S  0.5000  0.5000  0.5000

---

3.
AlSb: optimized geometry, PBE.

Computed properties:
Size of the total moment, μB per cell: 0.00
E_form (uncorrected), eV/f.u.: -0.03

Unit cell a=7.6769 b=7.6769 c=7.6769 alpha=90.00 beta=90.00 gamma=90.00
Fractional positions:
Al  0.0000  0.2500  0.5000
Al  0.0000  0.7500  0.5000
Al  0.2500  0.5000  0.0000
Al  0.5000  0.0000  0.2500
Al  0.5000  0.0000  0.7500
Al  0.7500  0.5000  0.0000
Sb  0.0000  0.5000  0.2500
Sb  0.0000  0.5000  0.7500
Sb  0.2500  0.0000  0.5000
Sb  0.5000  0.2500  0.0000
Sb  0.5000  0.7500  0.0000
Sb  0.7500  0.0000  0.5000

---

4.
AcSmIn4: optimized geometry, PBE.

Computed properties:
Size of the total moment, μB per cell: 0.00
D(E_F), states/eV/f.u.: 3.46
ΔE_f, eV per formula unit: -2.664

Unit cell a=5.0827 b=5.0827 c=7.6881 alpha=90.00 beta=90.00 gamma=120.00
Fractional positions:
Ac  0.0000  0.0000  0.0000
Sm  0.0000  0.0000  0.5000
In  0.3333  0.6667  0.2724
In  0.3333  0.6667  0.7276
In  0.6667  0.3333  0.2724
In  0.6667  0.3333  0.7276

---

5.
AgGeAu2Se4: optimized geometry, PBE.

Computed properties:
Size of the total moment, μB per cell: 0.00
E_form (uncorrected), eV/f.u.: -0.70
D(E_F), states/eV/f.u.: 7.04

Unit cell a=6.8471 b=6.8471 c=6.8471 alpha=123.48 beta=120.86 gamma=86.29
Fractional positions:
Ag  0.0000  0.0000  0.0000
Ge  0.5000  0.0000  0.5000
Au  0.2751  0.5000  0.7751
Au  0.7249  0.5000  0.2249
Se  0.1361  0.0484  0.4728
Se  0.4244  0.9516  0.0877
Se  0.5756  0.6633  0.5272
Se  0.8639  0.3367  0.9123

---

6.
NbCuOs3: optimized geometry, PBE.

Computed properties:
Size of the total moment, μB per cell: 2.71
D(E_F), states/eV/f.u.: 6.78
ΔE_f, eV per formula unit: 12.234

Unit cell a=4.7509 b=4.7509 c=4.7509 alpha=90.00 beta=90.00 gamma=90.00
Fractional positions:
Nb  0.0000  0.0000  0.0000
Cu  0.5000  0.5000  0.5000
Os  0.0000  0.0000  0.5000
Os  0.0000  0.5000  0.0000
Os  0.5000  0.0000  0.0000